# RbCo5S8 (GGA-PBE, relaxed)
# Electronic total energy, eV/atom: -5.442
# Calculated density, g/cm3: 4.6
# ΔE_f (raw), meV/atom: -476
data_RbCo5S8
_space_group_name_H-M_alt 'C 1 m 1'
_space_group_IT_number 8
_space_group_name_Hall 'C -2y'
_cell_length_a 17.4130
_cell_length_b 3.3772
_cell_length_c 8.1918
_cell_angle_alpha 90.00
_cell_angle_beta 106.15
_cell_angle_gamma 90.00
loop_
_atom_site_label
_atom_site_type_symbol
_atom_site_fract_x
_atom_site_fract_y
_atom_site_fract_z
_atom_site_occupancy
Rb1 Rb 0.0000 0.0000 0.0000 1
Co1 Co 0.9997 0.5000 0.5003 1
Co2 Co 0.1597 0.0000 0.4770 1
Co3 Co 0.2034 0.0000 0.8244 1
Co4 Co 0.2962 0.5000 0.1759 1
Co5 Co 0.3397 0.5000 0.5234 1
S1 S 0.0769 0.0000 0.6357 1
S2 S 0.0878 0.5000 0.3409 1
S3 S 0.1779 0.5000 0.9807 1
S4 S 0.2392 0.5000 0.6537 1
S5 S 0.2603 0.0000 0.3466 1
S6 S 0.3216 0.0000 0.0197 1
S7 S 0.4116 0.0000 0.6596 1
S8 S 0.4226 0.5000 0.3647 1